1.
# Ba2SeF

A relaxed structure of Ba2SeF (PBE, the Alexandria database).

a b c (Å): 6.8460 6.8460 13.4506
angles (deg): 90.00 90.00 90.00
With the nearest neighbours (Å) after each atom.
Space group I-42d (No. 122)
Symmetry-distinct sites (fractional):
Ba1 0.2056 0.2500 0.1250 x8  2 F 2.78
Se1 0.0000 0.0000 0.5000 x4  4 Ba 3.13
F1 0.0000 0.0000 0.0000 x4  4 Ba 2.78

Output
ΔE to the lowest computed polymorph = 184 meV per atom

2.
# Ba2Se2F

A relaxed structure of Ba2Se2F (PBE, the Alexandria database).

a b c (Å): 8.1666 8.1666 4.6118
angles (deg): 90.00 90.00 90.00
With the nearest neighbours (Å) after each atom.
Space group P4/mbm (No. 127)
Symmetry-distinct sites (fractional):
Ba1 0.1838 0.3162 0.0000 x4  2 F 2.99, 2 Se 3.21
Se1 0.1226 0.6226 0.5000 x4  1 Se 2.83
F1 0.0000 0.0000 0.0000 x2  4 Ba 2.99

3.
# BaSe2F

A relaxed structure of BaSe2F (PBE, the Alexandria database).

a b c (Å): 7.5578 7.5578 7.5578
angles (deg): 90.00 90.00 90.00
With the nearest neighbours (Å) after each atom.
Space group Fm-3m (No. 225)
Symmetry-distinct sites (fractional):
Ba1 0.0000 0.0000 0.0000 x4  8 Se 3.27
Se1 0.2500 0.2500 0.2500 x8  4 Ba 3.27, 4 F 3.27
F1 0.0000 0.0000 0.5000 x4  8 Se 3.27

Output
ΔE to the lowest computed polymorph = 984 meV per atom

Respective formation energy without anion corrections values: -2.14 -2.12 -0.82 eV/atom.